Below is Tl2PbAu after structural relaxation, with properties calculated at the PBE level.

Results
**Total energy**: -2.92 eV per atom
**D(E_F)**: 0.44 states/eV per atom
**Formation enthalpy at 0 K**: 0.006 eV per atom
**Total moment**: 0.00 μB per formula unit
**Crystal system**: orthorhombic

Geometry as POSCAR:
```
Tl2PbAu
1.0
-1.7852 2.7528 5.7360
1.7852 -2.7528 5.7360
1.7852 2.7528 -5.7360
Tl Pb Au
2 1 1
Direct
0.0000 0.0000 0.0000 Tl
0.7102 0.2102 0.5000 Tl
0.4246 0.4246 0.0000 Pb
0.2157 0.7157 0.5000 Au
```

Below is TlTcP2 after structural relaxation, with properties calculated at the PBE level.

Results
**Total energy**: -5.35 eV per atom
**D(E_F)**: 0.53 states/eV per atom
**Formation enthalpy at 0 K**: 0.540 eV per atom
**Total moment**: 0.00 μB per formula unit
**Distance to the lowest polymorph of the same formula**: 620 meV/atom
**Crystal system**: orthorhombic

Geometry as POSCAR:
```
TlTcP2
1.0
-1.5923 2.5205 4.2367
1.5923 -2.5205 4.2367
1.5923 2.5205 -4.2367
Tl Tc P
1 1 2
Direct
0.0000 0.0000 0.0000 Tl
0.7061 0.2061 0.5000 Tc
0.2791 0.7791 0.5000 P
0.4996 0.4996 0.0000 P
```